[1]
Here is crystalline Ca2PmUO6 at its relaxed geometry from the Alexandria database. Energies are from GGA-PBE.

Results
As for the electronic total energy: -246.6 eV for the cell shown. The calculation puts the formation energy (no corrections) at -3.242 eV/atom. Its volume is 464 Å³/cell.

Cell: 5.9145 5.9145 15.3066 Å, 90.00 90.00 120.00°
Space group R3 (No. 146, hexagonal axes)
Unique sites:
Ca (0.0000, 0.0000, 0.0000)
Ca (0.0000, 0.0000, 0.4943)
Pm (0.0000, 0.0000, 0.2179)
U (0.0000, 0.0000, 0.7101)
O (0.0488, 0.3438, 0.7780)
O (0.0607, 0.6828, 0.2844)


[2]
Here is crystalline CuReOF2 at its relaxed geometry from the Alexandria database. Energies are from GGA-PBE.

Results
For the density of states at the Fermi level, the calculation gives 2.40 states/eV/cell. As for the electronic total energy: -25.2 eV for the cell shown. As for the energy above the lowest structure with this stoichiometry: 0.6514 eV per atom. The calculation puts the formation energy (no corrections) at 0.000 eV/atom. Its volume is 63 Å³/cell.

Cell: 3.898 3.898 4.120 Å, 90.00 90.00 90.00°
Space group P4/mmm (No. 123)
Unique sites:
Cu (0.000, 0.000, 0.000)
Re (0.500, 0.500, 0.500)
O (0.000, 0.000, 0.500)
F (0.000, 0.500, 0.000)


[3]
Here is crystalline KB2SbO6 at its relaxed geometry from the Alexandria database. Energies are from GGA-PBE.

Results
For the density of states at the Fermi level, the calculation gives 0.00 states/eV/cell. As for the electronic total energy: -206.5 eV for the cell shown. The calculation puts the formation energy (no corrections) at -2.050 eV/atom. Its volume is 393 Å³/cell.

Cell: 4.9401 4.9401 18.5995 Å, 90.00 90.00 120.00°
Space group R-3 (No. 148, hexagonal axes)
Unique sites:
K (0.0000, 0.0000, 0.0000)
B (0.0000, 0.0000, 0.2254)
Sb (0.0000, 0.0000, 0.5000)
O (0.0307, 0.4164, 0.8959)


[4]
Here is crystalline Li4US4 at its relaxed geometry from the Alexandria database. Energies are from GGA-PBE.

Results
For the density of states at the Fermi level, the calculation gives 7.27 states/eV/cell. As for the electronic total energy: -95.2 eV for the cell shown. The calculation puts the formation energy (no corrections) at -1.352 eV/atom. Its volume is 373 Å³/cell.

Cell: 12.611 3.866 9.301 Å, 90.00 124.75 90.00°
Space group C2/m (No. 12)
Unique sites:
Li (0.149, 0.000, 0.377)
Li (0.207, 0.500, 0.821)
U (0.000, 0.500, 0.000)
S (0.080, 0.000, 0.877)
S (0.231, 0.500, 0.303)